Computed, not measured: NaEuInHg after structural relaxation at the GGA-PBE level of DFT.

abc: 5.409 5.409 5.409
angles: 60.00 60.00 60.00
Fractional positions:
Na 0.000 0.000 0.000
Eu 0.500 0.500 0.500
In 0.750 0.750 0.750
Hg 0.250 0.250 0.250

DFT formation energy   -29.8 kJ/mol of atoms
Volume   27.97 Å³ per atom


Computed, not measured: NdEuInHg after structural relaxation at the GGA-PBE level of DFT.

abc: 5.507 5.507 5.507
angles: 60.00 60.00 60.00
Fractional positions:
Nd 0.000 0.000 0.000
Eu 0.500 0.500 0.500
In 0.750 0.750 0.750
Hg 0.250 0.250 0.250

DFT formation energy   -46.4 kJ/mol of atoms
Volume   29.53 Å³ per atom


Computed, not measured: EuInHgPd after structural relaxation at the GGA-PBE level of DFT.

abc: 5.085 5.085 5.085
angles: 60.00 60.00 60.00
Fractional positions:
Eu 0.000 0.000 0.000
In 0.500 0.500 0.500
Hg 0.750 0.750 0.750
Pd 0.250 0.250 0.250

DFT formation energy   -43.9 kJ/mol of atoms
Volume   23.25 Å³ per atom


Computed, not measured: PmEuInHg after structural relaxation at the GGA-PBE level of DFT.

abc: 5.489 5.489 5.489
angles: 60.00 60.00 60.00
Fractional positions:
Pm 0.000 0.000 0.000
Eu 0.500 0.500 0.500
In 0.750 0.750 0.750
Hg 0.250 0.250 0.250

DFT formation energy   -46.3 kJ/mol of atoms
Volume   29.24 Å³ per atom


Computed, not measured: PrEuInHg after structural relaxation at the GGA-PBE level of DFT.

abc: 5.530 5.530 5.530
angles: 60.00 60.00 60.00
Fractional positions:
Pr 0.000 0.000 0.000
Eu 0.500 0.500 0.500
In 0.250 0.250 0.250
Hg 0.750 0.750 0.750

DFT formation energy   -46.7 kJ/mol of atoms
Volume   29.90 Å³ per atom


Computed, not measured: EuInHgPt after structural relaxation at the GGA-PBE level of DFT.

abc: 5.067 5.067 5.067
angles: 60.00 60.00 60.00
Fractional positions:
Eu 0.000 0.000 0.000
In 0.500 0.500 0.500
Hg 0.250 0.250 0.250
Pt 0.750 0.750 0.750

DFT formation energy   -47.4 kJ/mol of atoms
Volume   23.00 Å³ per atom


Computed, not measured: SmEuInHg after structural relaxation at the GGA-PBE level of DFT.

abc: 5.475 5.475 5.475
angles: 60.00 60.00 60.00
Fractional positions:
Sm 0.000 0.000 0.000
Eu 0.500 0.500 0.500
In 0.250 0.250 0.250
Hg 0.750 0.750 0.750

DFT formation energy   -45.9 kJ/mol of atoms
Volume   29.02 Å³ per atom


Computed, not measured: TbEuInHg after structural relaxation at the GGA-PBE level of DFT.

abc: 5.431 5.431 5.431
angles: 60.00 60.00 60.00
Fractional positions:
Tb 0.000 0.000 0.000
Eu 0.500 0.500 0.500
In 0.250 0.250 0.250
Hg 0.750 0.750 0.750

DFT formation energy   -45.1 kJ/mol of atoms
Volume   28.31 Å³ per atom


Computed, not measured: EuInHgTe after structural relaxation at the GGA-PBE level of DFT.

abc: 5.505 5.505 5.505
angles: 60.00 60.00 60.00
Fractional positions:
Eu 0.000 0.000 0.000
In 0.500 0.500 0.500
Hg 0.250 0.250 0.250
Te 0.750 0.750 0.750

Formation energy (no corrections)   -0.570 eV per atom
Volume   29.49 Å³ per atom


Computed, not measured: EuTlInHg after structural relaxation at the GGA-PBE level of DFT.

abc: 5.410 5.410 5.410
angles: 60.00 60.00 60.00
Fractional positions:
Eu 0.000 0.000 0.000
Tl 0.500 0.500 0.500
In 0.750 0.750 0.750
Hg 0.250 0.250 0.250

DFT formation energy   -29.3 kJ/mol of atoms
Volume   27.99 Å³ per atom


Computed, not measured: EuZnInHg after structural relaxation at the GGA-PBE level of DFT.

abc: 5.151 5.151 5.151
angles: 60.00 60.00 60.00
Fractional positions:
Eu 0.000 0.000 0.000
Zn 0.750 0.750 0.750
In 0.500 0.500 0.500
Hg 0.250 0.250 0.250

DFT formation energy   -32.3 kJ/mol of atoms
Volume   24.17 Å³ per atom


Computed, not measured: EuHgIr4 after structural relaxation at the GGA-PBE level of DFT.

abc: 5.355 5.355 5.355
angles: 60.00 60.00 60.00
Fractional positions:
Eu 0.000 0.000 0.000
Hg 0.250 0.250 0.250
Ir 0.126 0.625 0.625
Ir 0.625 0.126 0.625
Ir 0.625 0.625 0.126
Ir 0.625 0.625 0.625

DFT formation energy   -5.1 kJ/mol of atoms
Volume   18.09 Å³ per atom


Computed, not measured: Eu3HgIr after structural relaxation at the GGA-PBE level of DFT.

abc: 5.591 5.591 5.591
angles: 90.00 90.00 90.00
Fractional positions:
Eu 0.000 0.000 0.500
Eu 0.000 0.500 0.000
Eu 0.500 0.000 0.000
Hg 0.500 0.500 0.500
Ir 0.000 0.000 0.000

DFT formation energy   -28.8 kJ/mol of atoms
Volume   34.95 Å³ per atom


Computed, not measured: LaEuHgIr after structural relaxation at the GGA-PBE level of DFT.

abc: 5.236 5.236 5.236
angles: 60.00 60.00 60.00
Fractional positions:
La 0.000 0.000 0.000
Eu 0.500 0.500 0.500
Hg 0.750 0.750 0.750
Ir 0.250 0.250 0.250

DFT formation energy   -43.6 kJ/mol of atoms
Volume   25.37 Å³ per atom


Computed, not measured: EuLuHgIr after structural relaxation at the GGA-PBE level of DFT.

abc: 5.056 5.056 5.056
angles: 60.00 60.00 60.00
Fractional positions:
Eu 0.000 0.000 0.000
Lu 0.500 0.500 0.500
Hg 0.750 0.750 0.750
Ir 0.250 0.250 0.250

DFT formation energy   -43.9 kJ/mol of atoms
Volume   22.85 Å³ per atom


Computed, not measured: NdEuHgIr after structural relaxation at the GGA-PBE level of DFT.

abc: 5.191 5.191 5.191
angles: 60.00 60.00 60.00
Fractional positions:
Nd 0.000 0.000 0.000
Eu 0.500 0.500 0.500
Hg 0.750 0.750 0.750
Ir 0.250 0.250 0.250

DFT formation energy   -40.9 kJ/mol of atoms
Volume   24.72 Å³ per atom